No. 1
The following is a DFT calculation (PBE) of a relaxed structure of NbGe2.

Cell lengths 8.118, 8.118, 8.118 Å; angles 60.00, 60.00, 60.00 degrees
Sites, in units of the cell vectors:
Nb: 0.125 0.125 0.125
Nb: 0.875 0.875 0.875
Ge: 0.000 0.000 0.000
Ge: 0.000 0.000 0.500
Ge: 0.000 0.500 0.000
Ge: 0.500 0.000 0.000

The total energy is -5.20 eV/atom.

No. 2
The following is a DFT calculation (PBE) of a relaxed structure of NbGe.

Cell lengths 3.094, 3.094, 4.146 Å; angles 90.00, 90.00, 120.00 degrees
Sites, in units of the cell vectors:
Nb: 0.000 0.000 0.000
Ge: 0.333 0.667 0.500

The total energy is -7.60 eV/atom.

No. 3
The following is a DFT calculation (PBE) of a relaxed structure of NbGe.

Cell lengths 4.151, 4.151, 4.151 Å; angles 60.00, 60.00, 60.00 degrees
Sites, in units of the cell vectors:
Nb: 0.000 0.000 0.000
Ge: 0.250 0.250 0.250

The total energy is -6.50 eV/atom.

No. 4
The following is a DFT calculation (PBE) of a relaxed structure of NbGe2.

Cell lengths 5.611, 5.611, 7.746 Å; angles 90.00, 90.00, 120.00 degrees
Sites, in units of the cell vectors:
Nb: 0.333 0.667 0.066
Nb: 0.333 0.667 0.434
Nb: 0.667 0.333 0.566
Nb: 0.667 0.333 0.934
Ge: 0.000 0.000 0.000
Ge: 0.000 0.000 0.500
Ge: 0.180 0.360 0.750
Ge: 0.180 0.820 0.750
Ge: 0.360 0.180 0.250
Ge: 0.640 0.820 0.750
Ge: 0.820 0.180 0.250
Ge: 0.820 0.640 0.250

The total energy is -6.08 eV/atom.

No. 5
The following is a DFT calculation (PBE) of a relaxed structure of NbGe2.

Cell lengths 5.288, 5.288, 5.288 Å; angles 60.00, 60.00, 60.00 degrees
Sites, in units of the cell vectors:
Nb: 0.125 0.125 0.125
Nb: 0.875 0.875 0.875
Ge: 0.000 0.500 0.500
Ge: 0.500 0.000 0.500
Ge: 0.500 0.500 0.000
Ge: 0.500 0.500 0.500

The total energy is -5.97 eV/atom.

No. 6
The following is a DFT calculation (PBE) of a relaxed structure of NbGe2.

Cell lengths 4.428, 4.428, 4.428 Å; angles 60.00, 60.00, 60.00 degrees
Sites, in units of the cell vectors:
Nb: 0.000 0.000 0.000
Ge: 0.250 0.250 0.250
Ge: 0.750 0.750 0.750

The total energy is -6.09 eV/atom.

No. 7
The following is a DFT calculation (PBE) of a relaxed structure of Nb3Ge.

Cell lengths 5.175, 5.175, 5.175 Å; angles 90.00, 90.00, 90.00 degrees
Sites, in units of the cell vectors:
Nb: 0.000 0.250 0.500
Nb: 0.000 0.750 0.500
Nb: 0.250 0.500 0.000
Nb: 0.500 0.000 0.250
Nb: 0.500 0.000 0.750
Nb: 0.750 0.500 0.000
Ge: 0.000 0.000 0.000
Ge: 0.500 0.500 0.500

For the energy above the most stable polymorph in this dataset, the calculation gives 49 meV per atom.

No. 8
The following is a DFT calculation (PBE) of a relaxed structure of Nb3Ge.

Cell lengths 10.355, 10.355, 5.277 Å; angles 90.00, 90.00, 90.00 degrees
Sites, in units of the cell vectors:
Nb: 0.037 0.940 0.235
Nb: 0.060 0.537 0.735
Nb: 0.101 0.267 0.030
Nb: 0.154 0.834 0.714
Nb: 0.166 0.654 0.214
Nb: 0.233 0.101 0.470
Nb: 0.267 0.399 0.470
Nb: 0.334 0.846 0.214
Nb: 0.346 0.666 0.714
Nb: 0.399 0.233 0.030
Nb: 0.440 0.963 0.735
Nb: 0.463 0.560 0.235
Nb: 0.537 0.440 0.765
Nb: 0.560 0.037 0.265
Nb: 0.601 0.767 0.970
Nb: 0.654 0.334 0.286
Nb: 0.666 0.154 0.786
Nb: 0.733 0.601 0.530
Nb: 0.767 0.899 0.530
Nb: 0.834 0.346 0.786
Nb: 0.846 0.166 0.286
Nb: 0.899 0.733 0.970
Nb: 0.940 0.463 0.265
Nb: 0.963 0.060 0.765
Ge: 0.045 0.278 0.534
Ge: 0.222 0.045 0.966
Ge: 0.278 0.455 0.966
Ge: 0.455 0.222 0.534
Ge: 0.545 0.778 0.466
Ge: 0.722 0.545 0.034
Ge: 0.778 0.955 0.034
Ge: 0.955 0.722 0.466

For the energy above the most stable polymorph in this dataset, the calculation gives 0 meV per atom.

No. 9
The following is a DFT calculation (PBE) of a relaxed structure of NdNbGe.

Cell lengths 4.783, 4.783, 4.783 Å; angles 60.00, 60.00, 60.00 degrees
Sites, in units of the cell vectors:
Nd: 0.000 0.000 0.000
Nb: 0.750 0.750 0.750
Ge: 0.500 0.500 0.500

The total energy is -5.95 eV/atom.

No. 10
The following is a DFT calculation (PBE) of a relaxed structure of Nb4Ni5Ge5.

Cell lengths 6.993, 6.993, 6.993 Å; angles 99.64, 99.64, 131.70 degrees
Sites, in units of the cell vectors:
Nb: 0.100 0.702 0.802
Nb: 0.298 0.101 0.399
Nb: 0.702 0.900 0.601
Nb: 0.899 0.298 0.198
Ni: 0.035 0.344 0.896
Ni: 0.250 0.750 0.500
Ni: 0.448 0.140 0.104
Ni: 0.656 0.552 0.691
Ni: 0.860 0.965 0.309
Ge: 0.000 0.000 0.000
Ge: 0.212 0.407 0.616
Ge: 0.404 0.788 0.194
Ge: 0.593 0.209 0.806
Ge: 0.791 0.596 0.384

The total energy is -6.86 eV/atom.

No. 11
The following is a DFT calculation (PBE) of a relaxed structure of NbNiGe2.

Cell lengths 4.467, 4.467, 4.467 Å; angles 60.00, 60.00, 60.00 degrees
Sites, in units of the cell vectors:
Nb: 0.000 0.000 0.000
Ni: 0.250 0.250 0.250
Ge: 0.500 0.500 0.500
Ge: 0.750 0.750 0.750

The total energy is -6.02 eV/atom.

No. 12
The following is a DFT calculation (PBE) of a relaxed structure of Nb9Ni4Ge.

Cell lengths 9.687, 9.687, 9.687 Å; angles 93.93, 93.93, 149.64 degrees
Sites, in units of the cell vectors:
Nb: 0.069 0.707 0.775
Nb: 0.085 0.164 0.250
Nb: 0.164 0.915 0.079
Nb: 0.207 0.569 0.775
Nb: 0.250 0.750 0.500
Nb: 0.293 0.069 0.362
Nb: 0.336 0.415 0.750
Nb: 0.415 0.664 0.079
Nb: 0.431 0.207 0.638
Nb: 0.569 0.793 0.362
Nb: 0.585 0.336 0.921
Nb: 0.664 0.585 0.250
Nb: 0.707 0.931 0.638
Nb: 0.750 0.250 0.500
Nb: 0.793 0.431 0.225
Nb: 0.836 0.085 0.921
Nb: 0.915 0.836 0.750
Nb: 0.931 0.293 0.225
Ni: 0.000 0.000 0.500
Ni: 0.000 0.500 0.000
Ni: 0.131 0.369 0.500
Ni: 0.369 0.869 0.238
Ni: 0.500 0.000 0.000
Ni: 0.500 0.500 0.500
Ni: 0.631 0.131 0.762
Ni: 0.869 0.631 0.500
Ge: 0.250 0.250 0.000
Ge: 0.750 0.750 0.000

The total energy is -8.62 eV/atom.

Please write out number 3 again, unchanged.
The following is a DFT calculation (PBE) of a relaxed structure of NbGe.

Cell lengths 4.151, 4.151, 4.151 Å; angles 60.00, 60.00, 60.00 degrees
Sites, in units of the cell vectors:
Nb: 0.000 0.000 0.000
Ge: 0.250 0.250 0.250

The total energy is -6.50 eV/atom.